1.
VASP calculation (PBE) on a geometry-optimized LiTmGaSn structure.

Calculated values
ΔE_f   -408 meV per atom
Excess energy over the best structure of this formula in the dataset   0.093 eV/atom

Unit cell a=4.982 b=4.982 c=4.982 alpha=60.00 beta=60.00 gamma=60.00
Atoms (fractional coordinates):
Li1 0.750 0.750 0.750
Tm1 0.250 0.250 0.250
Sn1 0.500 0.500 0.500
Ga1 0.000 0.000 0.000

=====

2.
VASP calculation (PBE) on a geometry-optimized NaIn4GaO8 structure.

Calculated values
Raw formation energy   -1578 meV/atom

Unit cell a=6.496 b=6.496 c=6.308 alpha=59.01 beta=59.01 gamma=60.00
Atoms (fractional coordinates):
O1 0.754 0.754 0.739
O2 0.752 0.223 0.272
O3 0.748 0.260 0.732
O4 0.223 0.752 0.272
O5 0.752 0.752 0.272
O6 0.260 0.748 0.732
O7 0.260 0.260 0.732
O8 0.252 0.252 0.245
In1 0.999 0.999 0.502
In2 0.614 0.614 0.157
In3 0.999 0.500 0.502
In4 0.500 0.999 0.502
Na1 0.002 0.002 0.994
Ga1 0.384 0.384 0.849

=====

3.
VASP calculation (PBE) on a geometry-optimized Li2SbPb structure.

Calculated values
Excess energy over the best structure of this formula in the dataset   0.000 eV/atom
Raw formation energy   -369 meV/atom

Unit cell a=4.647 b=4.160 c=4.650 alpha=90.00 beta=90.00 gamma=90.00
Atoms (fractional coordinates):
Li1 0.000 0.125 0.875
Li2 0.500 0.125 0.375
Pb1 0.000 0.625 0.376
Sb1 0.500 0.625 0.873

=====

4.
VASP calculation (PBE) on a geometry-optimized La2Nd2SmIn5 structure.

Calculated values
ΔE_f   -364 meV per atom

Unit cell a=4.766 b=11.217 c=11.217 alpha=90.00 beta=90.00 gamma=90.00
Atoms (fractional coordinates):
Sm1 0.000 0.500 0.500
Sm2 0.000 0.000 0.000
In1 0.500 0.560 0.692
In2 0.500 0.000 0.500
In3 0.500 0.940 0.192
In4 0.500 0.060 0.808
In5 0.500 0.808 0.940
In6 0.500 0.308 0.560
In7 0.500 0.500 0.000
In8 0.500 0.440 0.308
In9 0.500 0.192 0.060
In10 0.500 0.692 0.440
La1 0.000 0.324 0.824
La2 0.000 0.176 0.324
La3 0.000 0.676 0.176
La4 0.000 0.824 0.676
Nd1 0.000 0.871 0.371
Nd2 0.000 0.371 0.129
Nd3 0.000 0.629 0.871
Nd4 0.000 0.129 0.629